# 1
Compound: Cd2PBr
Source: the Alexandria database
Functional: GGA-PBE
Structure: relaxed

Values from the calculation:
Energy relative to the lowest polymorph listed for this composition   284.5 meV/atom
Formation energy without anion corrections   -0.0937 eV per atom
Symmetry   Imm2 (44)
DFT total energy   -2.32 eV/atom

Cell: 7.599 7.599 7.599 Å, 152.20 150.25 41.17°
Fractional coordinates of all 4 atoms:
Cd1 0.997 0.997 0.000
P1 0.537 0.537 0.000
Cd2 0.680 0.180 0.500
Br1 0.286 0.786 0.500

---

# 2
Compound: Cd2PBr
Source: the Alexandria database
Functional: GGA-PBE
Structure: relaxed

Values from the calculation:
Energy relative to the lowest polymorph listed for this composition   56.2 meV/atom
Formation energy without anion corrections   -0.3220 eV per atom
Symmetry   Pmn2_1 (31)
DFT total energy   -2.55 eV/atom

Cell: 4.429 6.025 9.430 Å, 89.98 89.98 90.01°
Fractional coordinates of all 8 atoms:
Br1 0.701 0.349 0.502
Cd1 0.701 0.671 0.168
P1 0.201 0.852 0.225
Cd2 0.201 0.061 0.448
Cd3 0.201 0.171 0.048
P2 0.701 0.352 0.991
Br2 0.201 0.849 0.714
Cd4 0.701 0.561 0.767

---

# 3
Compound: CdP2Br
Source: the Alexandria database
Functional: GGA-PBE
Structure: relaxed

Values from the calculation:
Energy relative to the lowest polymorph listed for this composition   488.4 meV/atom
Formation energy without anion corrections   0.3902 eV per atom
Symmetry   I4/mmm (139)
DFT total energy   -2.96 eV/atom

Cell: 4.779 4.779 4.778 Å, 72.35 69.62 110.40°
Fractional coordinates of all 4 atoms:
P1 0.000 0.500 0.500
Br1 0.500 0.500 0.000
Cd1 0.500 0.000 0.500
P2 0.000 0.000 0.000

---

# 4
Compound: CdP2Br
Source: the Alexandria database
Functional: GGA-PBE
Structure: relaxed

Values from the calculation:
Energy relative to the lowest polymorph listed for this composition   36.0 meV/atom
Formation energy without anion corrections   -0.0623 eV per atom
Symmetry   R3m (160)
DFT total energy   -3.41 eV/atom

Cell: 9.097 9.097 9.097 Å, 22.67 22.67 22.67°
Fractional coordinates of all 4 atoms:
Cd1 0.741 0.741 0.741
P1 0.996 0.996 0.996
P2 0.287 0.287 0.287
Br1 0.476 0.476 0.476

---

# 5
Compound: CdP2Br
Source: the Alexandria database
Functional: GGA-PBE
Structure: relaxed

Values from the calculation:
Energy relative to the lowest polymorph listed for this composition   552.3 meV/atom
Formation energy without anion corrections   0.4541 eV per atom
Symmetry   P4/mmm (123)
DFT total energy   -2.90 eV/atom

Cell: 3.716 3.716 6.698 Å, 90.00 90.00 90.00°
Fractional coordinates of all 4 atoms:
Br1 0.500 0.500 0.500
Cd1 0.000 0.000 0.500
P1 0.000 0.500 0.000
P2 0.500 0.000 0.000

---

# 6
Compound: CdP2Br
Source: the Alexandria database
Functional: GGA-PBE
Structure: relaxed

Values from the calculation:
Energy relative to the lowest polymorph listed for this composition   757.7 meV/atom
Formation energy without anion corrections   0.6595 eV per atom
Symmetry   I-4m2 (119)
DFT total energy   -2.69 eV/atom

Cell: 4.825 4.825 4.825 Å, 119.93 119.93 90.12°
Fractional coordinates of all 4 atoms:
P1 0.250 0.750 0.500
P2 0.000 0.000 0.000
Cd1 0.750 0.250 0.500
Br1 0.500 0.500 0.000

---

# 7
Compound: CdP2Br
Source: the Alexandria database
Functional: GGA-PBE
Structure: relaxed

Values from the calculation:
Energy relative to the lowest polymorph listed for this composition   744.9 meV/atom
Formation energy without anion corrections   0.6467 eV per atom
Symmetry   Cmmm (65)
DFT total energy   -2.71 eV/atom

Cell: 7.140 7.140 2.601 Å, 90.00 90.00 136.13°
Fractional coordinates of all 4 atoms:
Br1 0.500 0.000 0.500
P1 0.500 0.500 0.000
Cd1 0.000 0.500 0.500
P2 0.000 0.000 0.000

---

# 8
Compound: Cd4PBr
Source: the Alexandria database
Functional: GGA-PBE
Structure: relaxed

Values from the calculation:
Formation energy without anion corrections   0.2685 eV per atom
Symmetry   F-43m (216)
DFT total energy   -1.52 eV/atom

Cell: 5.854 5.854 5.854 Å, 60.00 60.00 60.00°
Fractional coordinates of all 6 atoms:
Cd1 0.376 0.376 0.376
Br1 0.000 0.000 0.000
P1 0.750 0.750 0.750
Cd2 0.376 0.376 0.873
Cd3 0.376 0.873 0.376
Cd4 0.873 0.376 0.376

---

# 9
Compound: Cd4PBr3
Source: the Alexandria database
Functional: GGA-PBE
Structure: relaxed

Values from the calculation:
Formation energy without anion corrections   -0.4305 eV per atom
Symmetry   Pmn2_1 (31)
DFT total energy   -2.19 eV/atom

Cell: 7.333 9.255 8.638 Å, 90.00 90.00 90.00°
Fractional coordinates of all 16 atoms:
Cd1 0.716 0.101 0.000
Br1 0.434 0.373 0.273
Br2 0.934 0.627 0.773
Br3 0.434 0.373 0.727
Br4 0.411 0.733 0.000
P1 0.539 0.818 0.500
Cd2 0.563 0.643 0.276
P2 0.039 0.182 0.000
Cd3 0.216 0.899 0.500
Cd4 0.355 0.077 0.000
Cd5 0.855 0.923 0.500
Cd6 0.563 0.643 0.724
Br5 0.934 0.627 0.227
Br6 0.911 0.267 0.500
Cd7 0.063 0.357 0.776
Cd8 0.063 0.357 0.224

---

# 10
Compound: Cd2PBr
Source: the Alexandria database
Functional: GGA-PBE
Structure: relaxed

Values from the calculation:
Energy relative to the lowest polymorph listed for this composition   192.8 meV/atom
Formation energy without anion corrections   -0.1854 eV per atom
Symmetry   P4mm (99)
DFT total energy   -2.41 eV/atom

Cell: 3.837 3.837 7.205 Å, 90.00 90.00 90.00°
Fractional coordinates of all 4 atoms:
Br1 0.500 0.500 0.812
Cd1 0.000 0.000 0.991
P1 0.000 0.000 0.337
Cd2 0.500 0.500 0.360

---

# 11
Compound: Cd2PBr
Source: the Alexandria database
Functional: GGA-PBE
Structure: relaxed

Values from the calculation:
Energy relative to the lowest polymorph listed for this composition   241.8 meV/atom
Formation energy without anion corrections   -0.1364 eV per atom
Symmetry   Cm (8)
DFT total energy   -2.36 eV/atom

Cell: 7.233 7.233 3.982 Å, 90.13 90.13 29.18°
Fractional coordinates of all 4 atoms:
P1 0.462 0.462 0.626
Cd1 0.006 0.006 0.126
Br1 0.211 0.211 0.124
Cd2 0.821 0.821 0.624

---

# 12
Compound: Cd2PBr
Source: the Alexandria database
Functional: GGA-PBE
Structure: relaxed

Values from the calculation:
Energy relative to the lowest polymorph listed for this composition   0.0 meV/atom
Formation energy without anion corrections   -0.3782 eV per atom
Symmetry   I-42d (122)
DFT total energy   -2.61 eV/atom

Cell: 6.209 6.209 7.723 Å, 66.30 66.30 90.00°
Fractional coordinates of all 8 atoms:
Cd1 0.375 0.443 0.750
P1 0.250 0.750 0.500
Br1 0.750 0.250 0.500
Cd2 0.557 0.125 0.250
Cd3 0.193 0.625 0.250
P2 0.500 0.500 0.000
Br2 0.000 0.000 0.000
Cd4 0.875 0.807 0.750